Record 1
Ba2EuPb | GGA-PBE | relaxed

Values from the calculation:
Offset from the most stable computed form, eV/atom: 0.065
Crystal system: cubic
ΔE_f, eV per atom: -0.221
Magnetic moment, μB per atom: 1.87

abc: 6.2576 6.2576 6.2576
angles: 60.00 60.00 60.00
Sites, in units of the cell vectors:
Ba 0.2500 0.2500 0.2500
Ba 0.7500 0.7500 0.7500
Eu 0.0000 0.0000 0.0000
Pb 0.5000 0.5000 0.5000

***

Record 2
Ba2EuPb | GGA-PBE | relaxed

Values from the calculation:
Offset from the most stable computed form, eV/atom: 0.062
Crystal system: tetragonal
ΔE_f, eV per atom: -0.223
Magnetic moment, μB per atom: 1.99

abc: 4.5372 4.5372 8.8122
angles: 90.00 90.00 90.00
Sites, in units of the cell vectors:
Ba 0.0000 0.0000 0.2098
Ba 0.0000 0.0000 0.7902
Eu 0.5000 0.5000 0.5000
Pb 0.5000 0.5000 0.0000

***

Record 3
BaEu2Pb | GGA-PBE | relaxed

Values from the calculation:
Offset from the most stable computed form, eV/atom: 0.410
Crystal system: trigonal
ΔE_f, eV per atom: 0.111
Magnetic moment, μB per atom: 3.81

abc: 13.7125 13.7125 13.7125
angles: 16.33 16.33 16.33
Sites, in units of the cell vectors:
Ba 0.0000 0.0000 0.0000
Eu 0.4187 0.4187 0.4187
Eu 0.5813 0.5813 0.5813
Pb 0.5000 0.5000 0.5000

***

Record 4
BaEuPb4 | GGA-PBE | relaxed

Values from the calculation:
Crystal system: cubic
ΔE_f, eV per atom: -0.421
Magnetic moment, μB per atom: 1.16

abc: 6.6591 6.6591 6.6591
angles: 60.00 60.00 60.00
Sites, in units of the cell vectors:
Ba 0.0000 0.0000 0.0000
Eu 0.2500 0.2500 0.2500
Pb 0.1257 0.6248 0.6248
Pb 0.6248 0.1257 0.6248
Pb 0.6248 0.6248 0.1257
Pb 0.6248 0.6248 0.6248

***

Record 5
Ba2EuPb | GGA-PBE | relaxed

Values from the calculation:
Offset from the most stable computed form, eV/atom: 0.000
Crystal system: tetragonal
ΔE_f, eV per atom: -0.286
Magnetic moment, μB per atom: 1.83

abc: 5.5300 5.5300 5.4651
angles: 90.00 90.00 90.00
Sites, in units of the cell vectors:
Ba 0.0000 0.5000 0.0000
Ba 0.5000 0.0000 0.0000
Eu 0.0000 0.0000 0.5000
Pb 0.5000 0.5000 0.5000

***

Record 6
Ba2EuPb | GGA-PBE | relaxed

Values from the calculation:
Offset from the most stable computed form, eV/atom: 0.442
Crystal system: trigonal
ΔE_f, eV per atom: 0.156
Magnetic moment, μB per atom: 1.97

abc: 14.0609 14.0609 14.0609
angles: 16.69 16.69 16.69
Sites, in units of the cell vectors:
Ba 0.0847 0.0847 0.0847
Ba 0.9153 0.9153 0.9153
Eu 0.5000 0.5000 0.5000
Pb 0.0000 0.0000 0.0000

***

Record 7
Ba4Eu2Pd | GGA-PBE | relaxed

Values from the calculation:
Crystal system: tetragonal
ΔE_f, eV per atom: -0.003
Magnetic moment, μB per atom: 2.23

abc: 11.2928 11.2928 11.2928
angles: 148.09 148.09 45.76
Sites, in units of the cell vectors:
Ba 0.0000 0.5000 0.5000
Ba 0.1553 0.1553 0.0000
Ba 0.5000 0.0000 0.5000
Ba 0.8447 0.8447 0.0000
Eu 0.3549 0.3549 0.0000
Eu 0.6451 0.6451 0.0000
Pd 0.0000 0.0000 0.0000

***

Record 8
Ba3EuPd | GGA-PBE | relaxed

Values from the calculation:
Crystal system: cubic
ΔE_f, eV per atom: -0.201
Magnetic moment, μB per atom: 1.50

abc: 6.3734 6.3734 6.3734
angles: 90.00 90.00 90.00
Sites, in units of the cell vectors:
Ba 0.0000 0.0000 0.5000
Ba 0.0000 0.5000 0.0000
Ba 0.5000 0.0000 0.0000
Eu 0.5000 0.5000 0.5000
Pd 0.0000 0.0000 0.0000